A relaxed structure of Pr2TaZn, computed with PBE. Values from VASP.

```
&SYSTEM
  ibrav = 0, nat = 4, ntyp = 3
/
ATOMIC_SPECIES
Pr 140.91 Pr.upf
Ta 180.95 Ta.upf
Zn 65.41 Zn.upf
CELL_PARAMETERS angstrom
1.6141 0.9319 11.3931
-1.6141 0.9319 11.3931
0.0000 -1.8638 11.3931
ATOMIC_POSITIONS crystal
Pr 0.0892 0.0892 0.0892
Pr 0.9108 0.9108 0.9108
Ta 0.0000 0.0000 0.0000
Zn 0.5000 0.5000 0.5000
```

## Properties
N(E_F) in states/eV/f.u.: 7.4
Formation energy in eV per atom: 0.64
Calculated density in g cm⁻³: 8.53
V in Å³ per cell: 102.8


A relaxed structure of Cd2Ge2I, computed with PBE. Values from VASP.

```
&SYSTEM
  ibrav = 0, nat = 10, ntyp = 3
/
ATOMIC_SPECIES
Cd 112.41 Cd.upf
Ge 72.64 Ge.upf
I 126.90 I.upf
CELL_PARAMETERS angstrom
8.1802 0.0000 0.0000
0.0000 8.1802 0.0000
0.0000 0.0000 3.8127
ATOMIC_POSITIONS crystal
Cd 0.1870 0.3130 0.0000
Cd 0.3130 0.8130 0.0000
Cd 0.6870 0.1870 0.0000
Cd 0.8130 0.6870 0.0000
Ge 0.1127 0.6127 0.5000
Ge 0.3873 0.1127 0.5000
Ge 0.6127 0.8873 0.5000
Ge 0.8873 0.3873 0.5000
I 0.0000 0.0000 0.5000
I 0.5000 0.5000 0.5000
```

## Properties
Formation energy without anion corrections in eV per atom: 0.198
N(E_F) in states/eV/f.u.: 1.9
Calculated density in g cm⁻³: 6.47
V in Å³ per cell: 255.1
Energy relative to the lowest polymorph listed for this composition in eV/f.u.: 0.32


A relaxed structure of RbP2PbS8, computed with PBE. Values from VASP.

```
&SYSTEM
  ibrav = 0, nat = 12, ntyp = 4
/
ATOMIC_SPECIES
Rb 85.47 Rb.upf
P 30.97 P.upf
Pb 207.20 Pb.upf
S 32.06 S.upf
CELL_PARAMETERS angstrom
3.0921 1.7852 9.8023
-3.0921 1.7852 9.8023
0.0000 -3.5705 9.8023
ATOMIC_POSITIONS crystal
Rb 0.0000 0.0000 0.0000
P 0.2430 0.2430 0.2430
P 0.7570 0.7570 0.7570
Pb 0.5000 0.5000 0.5000
S 0.0702 0.8219 0.4403
S 0.1781 0.5597 0.9298
S 0.3114 0.3114 0.3114
S 0.4403 0.0702 0.8219
S 0.5597 0.9298 0.1781
S 0.6886 0.6886 0.6886
S 0.8219 0.4403 0.0702
S 0.9298 0.1781 0.5597
```

## Properties
Formation energy without anion corrections in eV per atom: -0.243
N(E_F) in states/eV/f.u.: 13.4
Calculated density in g cm⁻³: 3.13
V in Å³ per cell: 324.7


A relaxed structure of MgFe2Ru2, computed with PBE. Values from VASP.

```
&SYSTEM
  ibrav = 0, nat = 5, ntyp = 3
/
ATOMIC_SPECIES
Mg 24.30 Mg.upf
Fe 55.84 Fe.upf
Ru 101.07 Ru.upf
CELL_PARAMETERS angstrom
-1.9103 1.9103 5.3207
1.9103 -1.9103 5.3207
1.9103 1.9103 -5.3207
ATOMIC_POSITIONS crystal
Mg 0.0000 0.0000 0.0000
Fe 0.2500 0.7500 0.5000
Fe 0.7500 0.2500 0.5000
Ru 0.3894 0.3894 0.0000
Ru 0.6106 0.6106 0.0000
```

## Properties
N(E_F) in states/eV/f.u.: 4.6
Formation energy in eV per atom: 0.31
Calculated density in g cm⁻³: 7.23
V in Å³ per cell: 77.7
Energy relative to the lowest polymorph listed for this composition in eV/f.u.: 0.67